! Dy2Ga2Tc, optimized geometry, DFT PBE-GGA; values from VASP
! * symmetry: C2/m
! * VASP energy: -5.566 eV per atom
&SYSTEM
  ibrav = 0, nat = 10, ntyp = 3
/
ATOMIC_SPECIES
Dy 162.50 Dy.upf
Ga 69.72 Ga.upf
Tc 98.00 Tc.upf
CELL_PARAMETERS angstrom
-0.219 2.760 3.334
-0.842 -2.641 4.948
9.337 1.037 2.571
ATOMIC_POSITIONS crystal
Dy 0.675 0.318 0.333
Dy 0.923 0.269 0.884
Dy 0.325 0.682 0.667
Dy 0.077 0.731 0.116
Ga 0.080 0.273 0.567
Ga 0.629 0.862 0.881
Ga 0.920 0.727 0.433
Ga 0.371 0.138 0.119
Tc 0.644 0.072 0.641
Tc 0.356 0.928 0.359

! DyGa2Tc, optimized geometry, DFT PBE-GGA; values from VASP
! * symmetry: P4/mmm
! * VASP energy: -5.545 eV per atom
&SYSTEM
  ibrav = 0, nat = 4, ntyp = 3
/
ATOMIC_SPECIES
Tc 98.00 Tc.upf
Ga 69.72 Ga.upf
Dy 162.50 Dy.upf
CELL_PARAMETERS angstrom
3.346 0.000 0.000
0.000 3.346 0.000
0.000 0.000 6.465
ATOMIC_POSITIONS crystal
Tc 0.500 0.500 0.000
Ga 0.000 0.000 0.801
Ga 0.000 0.000 0.199
Dy 0.500 0.500 0.500